{
  "formula": "MgNi2B2",
  "functional": "PBE-GGA",
  "state": "optimized geometry",
  "lattice": [[-1.4801, 1.4801, 5.9793], [1.4801, -1.4801, 5.9793], [1.4801, 1.4801, -5.9793]],
  "species": ["Mg", "Ni", "Ni", "B", "B"],
  "frac_coords": [[0.0000, 0.0000, 0.0000], [0.3657, 0.3657, 0.0000], [0.6343, 0.6343, 0.0000], [0.2500, 0.7500, 0.5000], [0.7500, 0.2500, 0.5000]],
  "relative_energy_mev_per_atom": 223.2,
  "formation_enthalpy_0k_ev_per_atom": -0.020,
  "m_tot_mub_per_cell": 0.0
}